# PBE CeHfCoN3, optimized geometry
data_CeHfCoN3
_symmetry_space_group_name_H-M 'P 1 21/m 1'
_symmetry_Int_Tables_number 11
_symmetry_space_group_name_Hall '-P 2yb'
_cell_length_a 6.893
_cell_length_b 3.238
_cell_length_c 7.182
_cell_angle_alpha 90.00
_cell_angle_beta 102.42
_cell_angle_gamma 90.00
loop_
_atom_site_label
_atom_site_type_symbol
_atom_site_fract_x
_atom_site_fract_y
_atom_site_fract_z
_atom_site_occupancy
Ce1 Ce 0.176 0.250 0.210 1
Hf1 Hf 0.342 0.750 0.844 1
Co1 Co 0.103 0.250 0.587 1
N1 N 0.124 0.250 0.869 1
N2 N 0.183 0.750 0.488 1
N3 N 0.431 0.750 0.149 1
# total DFT energy (no corrections) = -109.64 eV/cell
# energy relative to the elements, uncorrected = -1.142 eV per atom